Here is a relaxed AcMnP2O8 crystal from Alexandria via LeMat-Bulk. Energies are from PBE+U.

```
12
Lattice="2.406 1.389 7.409 -2.406 1.389 7.409 0.000 -2.778 7.409" Properties=species:S:1:pos:R:3 pbc="T T T"
Ac 0.000 0.000 0.000
Mn 0.000 0.000 11.114
P 0.000 0.000 5.499
P 0.000 0.000 16.729
O -0.924 -1.348 9.754
O -0.705 -1.474 12.474
O 0.000 0.000 7.065
O -0.705 1.474 9.754
O -0.924 1.348 12.474
O 0.000 0.000 15.163
O 1.629 -0.126 9.754
O 1.629 0.126 12.474
```

Properties
E_tot ... -7.560 eV per atom
Magnetization ... 4.00 μB per cell